# 1
Compound: In5Pb3I12
Source: Alexandria
Functional: GGA-PBE
Structure: relaxed

Values from the calculation:
The excess energy over the best structure of this formula in the dataset comes out at 0 meV per atom. The value obtained for the formation energy without anion corrections is -10.14 eV/f.u.

Cell lengths 14.3354, 14.3354, 4.7133 Å; angles 90.00, 90.00, 120.00 degrees
Space group P-62m (No. 189)
Symmetry-distinct sites (fractional):
In  0.0000  0.7068  0.0000
In  0.3333  0.6667  0.0000
Pb  0.0000  0.3199  0.5000
I  0.0000  0.1638  0.0000
I  0.0000  0.4730  0.0000
I  0.1909  0.7380  0.5000

# 2
Compound: In2PbI
Source: Alexandria
Functional: GGA-PBE
Structure: relaxed

Values from the calculation:
The excess energy over the best structure of this formula in the dataset comes out at 34 meV per atom. The value obtained for the formation energy without anion corrections is -0.13 eV/f.u.

Cell lengths 3.799, 3.799, 8.824 Å; angles 90.00, 90.00, 90.00 degrees
Space group P4/mmm (No. 123)
Symmetry-distinct sites (fractional):
In  0.000  0.000  0.243
Pb  0.500  0.500  0.000
I  0.500  0.500  0.500

# 3
Compound: In2PdPbI
Source: Alexandria
Functional: GGA-PBE
Structure: relaxed

Values from the calculation:
The value obtained for the formation energy without anion corrections is -1.27 eV/f.u.

Cell lengths 5.315, 5.315, 5.476 Å; angles 90.00, 90.00, 90.00 degrees
Space group P4/mmm (No. 123)
Symmetry-distinct sites (fractional):
In  0.000  0.500  0.000
Pd  0.000  0.000  0.000
Pb  0.000  0.000  0.500
I  0.500  0.500  0.500

# 4
Compound: PmInPbI6
Source: Alexandria
Functional: GGA-PBE
Structure: relaxed

Values from the calculation:
The value obtained for the formation energy without anion corrections is -8.48 eV/f.u.

Cell lengths 8.1403, 8.1403, 15.1443 Å; angles 90.00, 90.00, 120.00 degrees
Space group P-31c (No. 163)
Symmetry-distinct sites (fractional):
Pm  0.3333  0.6667  0.2500
In  0.0000  0.0000  0.0000
Pb  0.3333  0.6667  0.7500
I  0.0127  0.3646  0.1300

# 5
Compound: InPt2PbI
Source: Alexandria
Functional: GGA-PBE
Structure: relaxed

Values from the calculation:
The value obtained for the formation energy without anion corrections is 3.32 eV/f.u.

Cell lengths 5.021, 5.021, 6.142 Å; angles 90.00, 90.00, 90.00 degrees
Space group P4/mmm (No. 123)
Symmetry-distinct sites (fractional):
In  0.000  0.000  0.000
Pt  0.000  0.500  0.000
Pb  0.000  0.000  0.500
I  0.500  0.500  0.500

# 6
Compound: PuInPbI6
Source: Alexandria
Functional: GGA-PBE
Structure: relaxed

Values from the calculation:
The value obtained for the formation energy without anion corrections is -7.05 eV/f.u.

Cell lengths 8.0864, 8.0864, 15.1811 Å; angles 90.00, 90.00, 120.00 degrees
Space group P-31c (No. 163)
Symmetry-distinct sites (fractional):
Pu  0.3333  0.6667  0.2500
In  0.0000  0.0000  0.0000
Pb  0.3333  0.6667  0.7500
I  0.0142  0.3648  0.1293

# 7
Compound: RbInPbI4
Source: Alexandria
Functional: GGA-PBE
Structure: relaxed

Values from the calculation:
The value obtained for the formation energy without anion corrections is -5.36 eV/f.u.

Cell lengths 6.334, 6.334, 18.104 Å; angles 90.00, 90.00, 90.00 degrees
Space group I4mm (No. 107)
Symmetry-distinct sites (fractional):
Rb  0.000  0.000  0.000
In  0.000  0.000  0.726
Pb  0.000  0.000  0.368
I  0.000  0.000  0.198
I  0.000  0.000  0.555
I  0.000  0.500  0.376

# 8
Compound: RbInPbI6
Source: Alexandria
Functional: GGA-PBE
Structure: relaxed

Values from the calculation:
The value obtained for the formation energy without anion corrections is -6.76 eV/f.u.

Cell lengths 8.1012, 8.1012, 15.9343 Å; angles 90.00, 90.00, 120.00 degrees
Space group P-31c (No. 163)
Symmetry-distinct sites (fractional):
Rb  0.0000  0.0000  0.0000
In  0.3333  0.6667  0.2500
Pb  0.3333  0.6667  0.7500
I  0.0271  0.3838  0.1395

# 9
Compound: Rb3In3PbI8
Source: Alexandria
Functional: GGA-PBE
Structure: relaxed

Values from the calculation:
The value obtained for the formation energy without anion corrections is -13.60 eV/f.u.

Cell lengths 17.470, 10.091, 10.358 Å; angles 90.00, 124.23, 90.00 degrees
Space group C2/m (No. 12)
Symmetry-distinct sites (fractional):
Rb  0.000  0.000  0.000
Rb  0.250  0.250  0.000
In  0.000  0.500  0.500
In  0.250  0.250  0.500
Pb  0.000  0.000  0.500
I  0.004  0.232  0.281
I  0.228  0.000  0.719
I  0.245  0.500  0.736

# 10
Compound: Rb2InPbI5
Source: Alexandria
Functional: GGA-PBE
Structure: relaxed

Values from the calculation:
The value obtained for the formation energy without anion corrections is -8.65 eV/f.u.

Cell lengths 4.912, 21.357, 16.998 Å; angles 90.00, 90.00, 90.00 degrees
Space group Cmc2_1 (No. 36)
Symmetry-distinct sites (fractional):
Rb  0.000  0.081  0.000
Rb  0.000  0.132  0.652
In  0.000  0.452  0.802
Pb  0.000  0.233  0.386
I  0.000  0.087  0.430
I  0.000  0.253  0.018
I  0.000  0.291  0.760
I  0.000  0.381  0.338
I  0.000  0.497  0.117

# 11
Compound: In2RhPbI
Source: Alexandria
Functional: GGA-PBE
Structure: relaxed

Values from the calculation:
The value obtained for the formation energy without anion corrections is -1.56 eV/f.u.

Cell lengths 5.283, 5.283, 5.302 Å; angles 90.00, 90.00, 90.00 degrees
Space group P4/mmm (No. 123)
Symmetry-distinct sites (fractional):
In  0.000  0.500  0.000
Rh  0.000  0.000  0.000
Pb  0.000  0.000  0.500
I  0.500  0.500  0.500

# 12
Compound: InRhPb2I
Source: Alexandria
Functional: GGA-PBE
Structure: relaxed

Values from the calculation:
The value obtained for the formation energy without anion corrections is -0.97 eV/f.u.

Cell lengths 5.365, 5.365, 5.299 Å; angles 90.00, 90.00, 90.00 degrees
Space group P4/mmm (No. 123)
Symmetry-distinct sites (fractional):
In  0.000  0.000  0.000
Rh  0.000  0.000  0.500
Pb  0.000  0.500  0.500
I  0.500  0.500  0.000

Number 1: magnetic moment 0.000 μB/atom. Number 2: magnetic moment 0.000 μB/atom. Number 3: magnetic moment 0.000 μB/atom. Number 4: magnetic moment 0.000 μB/atom. Number 5: magnetic moment 0.000 μB/atom. Number 6: magnetic moment 0.556 μB/atom. Number 7: magnetic moment 0.000 μB/atom. Number 8: magnetic moment 0.000 μB/atom. Number 9: magnetic moment 0.000 μB/atom. Number 10: magnetic moment 0.000 μB/atom. Number 11: magnetic moment 0.000 μB/atom. Number 12: magnetic moment 0.000 μB/atom.